[1]
! Li2MgBi | Alexandria | PBE-GGA | optimized geometry; values from VASP
&SYSTEM
  ibrav = 0, nat = 4, ntyp = 3
/
ATOMIC_SPECIES
Li 6.94 Li.upf
Mg 24.30 Mg.upf
Bi 208.98 Bi.upf
ATOMIC_POSITIONS angstrom
Li 0.000 2.198 0.000
Li 2.198 0.000 0.000
Mg 0.000 0.000 2.203
Bi 2.198 2.198 2.203
CELL_PARAMETERS angstrom
4.396 0.000 0.000
0.000 4.396 0.000
0.000 0.000 4.405
! **E_form**: -0.335 eV per atom
! **Distance to the lowest polymorph of the same formula**: 0 meV/atom


[2]
! MgHgOs2 | Alexandria | PBE-GGA | optimized geometry; values from VASP
&SYSTEM
  ibrav = 0, nat = 4, ntyp = 3
/
ATOMIC_SPECIES
Mg 24.30 Mg.upf
Hg 200.59 Hg.upf
Os 190.23 Os.upf
ATOMIC_POSITIONS angstrom
Mg 0.000 0.000 0.000
Hg 1.472 2.326 0.000
Os 0.000 2.326 2.388
Os 1.472 0.000 2.388
CELL_PARAMETERS angstrom
2.943 0.000 0.000
0.000 4.651 0.000
0.000 0.000 4.775
! **E_form**: 0.576 eV per atom
! **Distance to the lowest polymorph of the same formula**: 386 meV/atom


[3]
! Ce2Ga8Fe | Alexandria | PBE-GGA | optimized geometry; values from VASP
&SYSTEM
  ibrav = 0, nat = 11, ntyp = 3
/
ATOMIC_SPECIES
Ce 140.12 Ce.upf
Ga 69.72 Ga.upf
Fe 55.84 Fe.upf
ATOMIC_POSITIONS angstrom
Ce 0.000 0.000 2.226
Ce 0.000 0.000 9.022
Ga 0.000 2.151 0.000
Ga 0.000 2.151 4.346
Ga 0.000 2.151 6.903
Ga 2.151 0.000 0.000
Ga 2.151 0.000 4.346
Ga 2.151 0.000 6.903
Ga 2.151 2.151 2.196
Ga 2.151 2.151 9.053
Fe 0.000 0.000 5.624
CELL_PARAMETERS angstrom
4.302 0.000 0.000
0.000 4.302 0.000
0.000 0.000 11.249
! **E_form**: -0.433 eV per atom


[4]
! Nd6Ge2O | Alexandria | PBE-GGA | optimized geometry; values from VASP
&SYSTEM
  ibrav = 0, nat = 18, ntyp = 3
/
ATOMIC_SPECIES
Nd 144.24 Nd.upf
Ge 72.64 Ge.upf
O 16.00 O.upf
ATOMIC_POSITIONS angstrom
Nd 1.295 1.295 1.803
Nd 1.295 1.295 10.521
Nd 1.472 1.472 6.162
Nd 1.858 4.802 0.000
Nd 2.034 4.625 4.359
Nd 2.034 4.625 7.965
Nd 4.625 2.034 4.359
Nd 4.625 2.034 7.965
Nd 4.802 1.858 0.000
Nd 5.187 5.187 6.162
Nd 5.364 5.364 1.803
Nd 5.364 5.364 10.521
Ge 0.000 0.000 4.067
Ge 0.000 0.000 8.257
Ge 3.330 3.330 2.095
Ge 3.330 3.330 10.229
O 0.000 0.000 0.000
O 3.330 3.330 6.162
CELL_PARAMETERS angstrom
6.659 0.000 0.000
0.000 6.659 0.000
0.000 0.000 12.324
! **Raw formation energy**: -0.8108 eV/atom


Number 1: total magnetic moment 0.00 Bohr magnetons per cell, total DFT energy (no corrections) -2.66 eV/atom. Number 2: total magnetic moment 0.01 Bohr magnetons per cell, total DFT energy (no corrections) -5.51 eV/atom. Number 3: total magnetic moment 0.01 Bohr magnetons per cell, total DFT energy (no corrections) -4.48 eV/atom. Number 4: total magnetic moment 0.00 Bohr magnetons per cell, total DFT energy (no corrections) -5.57 eV/atom.